VASP calculation (PBE) on a relaxed BiAsN2O crystal.

Properties
- Space-group type: No. 123
- ΔE_f (raw): 0.421 eV/atom
- Fermi-level density of states: 1.66 states/eV per cell

Lattice parameters (Å, degrees): 3.9155 3.9155 3.8187 90.00 90.00 90.00
Atoms (fractional coordinates):
Bi (0.0000, 0.0000, 0.0000)
As (0.5000, 0.5000, 0.5000)
N (0.0000, 0.5000, 0.5000)
N (0.5000, 0.0000, 0.5000)
O (0.5000, 0.5000, 0.0000)